BaHg2Sb: relaxed, PBEsol.

Geometry as POSCAR:
```
BaHg2Sb
1.0
4.803 0.000 0.000
0.000 4.797 0.000
0.000 0.000 5.067
Sb Ba Hg
1 1 2
direct
0.500 0.000 0.500 Sb
0.000 0.500 0.500 Ba
0.500 0.500 0.000 Hg
0.000 0.000 0.000 Hg
```

Values from the calculation:
raw total energy	-2.397	eV/atom
formation energy from raw total energies	-42.2	kJ per mole of atoms
size of the total moment	0.0	μB per formula unit
V	116.7	Å³/cell

---

Ba2ScHg: relaxed, PBEsol.

Geometry as POSCAR:
```
Ba2ScHg
1.0
-3.084 -2.301 0.401
2.180 -3.644 -4.153
3.416 -0.239 6.250
Hg Ba Sc
1 2 1
direct
0.529 0.529 0.058 Hg
0.987 0.987 0.973 Ba
0.787 0.287 0.573 Ba
0.198 0.698 0.396 Sc
```

Values from the calculation:
raw total energy	-2.978	eV/atom
size of the total moment	0.0	μB per formula unit
ΔH_f (0 K)	-0.11	eV/atom
V	142.1	Å³/cell

---

BaHgSe4: relaxed, PBEsol.

Geometry as POSCAR:
```
BaHgSe4
1.0
5.915 0.000 0.000
2.958 5.123 0.000
2.958 1.708 4.830
Se Ba Hg
4 1 1
direct
0.374 0.374 0.374 Se
0.374 0.878 0.374 Se
0.878 0.374 0.374 Se
0.374 0.374 0.878 Se
0.750 0.750 0.750 Ba
0.000 0.000 0.000 Hg
```

Values from the calculation:
raw total energy	-3.482	eV/atom
formation energy from raw total energies	-44.6	kJ per mole of atoms
size of the total moment	0.0	μB per formula unit
V	146.4	Å³/cell